VASP calculation (PBEsol) on a relaxed structure of Cr2CdCl.

Values from the calculation:
The uncorrected formation energy comes out at 0.745 eV per atom. For the energy above the most stable polymorph in this dataset, the calculation gives 294.3 meV per atom. As for the density of states at the Fermi level: 0.9 states/eV/f.u. The uncorrected energy is -20.71 eV per cell.

Cell: 5.041 5.041 5.041 Å, 129.52 129.52 74.17°
Positions (direct):
Cr: 0.250 0.750 0.500
Cr: 0.750 0.250 0.500
Cd: 0.000 0.000 0.000
Cl: 0.500 0.500 0.000



VASP calculation (PBEsol) on a relaxed structure of CrCd4Cl.

Values from the calculation:
The uncorrected formation energy comes out at 0.340 eV per atom. As for the density of states at the Fermi level: 3.2 states/eV/f.u. The uncorrected energy is -15.00 eV per cell.

Cell: 5.727 5.727 5.727 Å, 60.00 60.00 60.00°
Positions (direct):
Cr: 0.000 0.000 0.000
Cd: 0.375 0.375 0.375
Cd: 0.375 0.375 0.876
Cd: 0.375 0.876 0.375
Cd: 0.876 0.375 0.375
Cl: 0.750 0.750 0.750



VASP calculation (PBEsol) on a relaxed structure of CrCdCl2.

Values from the calculation:
The uncorrected formation energy comes out at -0.303 eV per atom. The uncorrected energy is -16.67 eV per cell.

Cell: 5.704 5.704 5.704 Å, 146.53 113.26 76.75°
Positions (direct):
Cr: 0.000 0.000 0.000
Cd: 0.746 0.246 0.500
Cl: 0.179 0.679 0.500
Cl: 0.520 0.520 0.000



VASP calculation (PBEsol) on a relaxed structure of CrCdCl3.

Values from the calculation:
The uncorrected formation energy comes out at -0.195 eV per atom. As for the density of states at the Fermi level: 8.9 states/eV/f.u. The uncorrected energy is -18.44 eV per cell.

Cell: 5.060 5.060 5.060 Å, 90.00 90.00 90.00°
Positions (direct):
Cr: 0.000 0.000 0.000
Cd: 0.500 0.500 0.500
Cl: 0.000 0.500 0.500
Cl: 0.500 0.000 0.500
Cl: 0.500 0.500 0.000



VASP calculation (PBEsol) on a relaxed structure of Cr2CdCl.

Values from the calculation:
The uncorrected formation energy comes out at 0.450 eV per atom. For the energy above the most stable polymorph in this dataset, the calculation gives 0.0 meV per atom. As for the density of states at the Fermi level: 3.6 states/eV/f.u. The uncorrected energy is -21.89 eV per cell.

Cell: 8.264 8.264 8.264 Å, 22.30 22.30 22.30°
Positions (direct):
Cr: 0.244 0.244 0.244
Cr: 0.756 0.756 0.756
Cd: 0.000 0.000 0.000
Cl: 0.500 0.500 0.500



VASP calculation (PBEsol) on a relaxed structure of CrCdN2Cl.

Values from the calculation:
The uncorrected formation energy comes out at 1.764 eV per atom. As for the density of states at the Fermi level: 2.6 states/eV/f.u. The uncorrected energy is -21.68 eV per cell.

Cell: 4.047 4.047 6.138 Å, 90.00 90.00 90.00°
Positions (direct):
Cr: 0.000 0.000 0.000
Cd: 0.000 0.000 0.500
N: 0.000 0.500 0.500
N: 0.500 0.000 0.500
Cl: 0.500 0.500 0.000